1.
This record from Alexandria describes a relaxed structure of MnGaGe2. The functional is PBE.

Calculated values
formation energy from the elements = 2.99 eV/f.u.
DOS at the Fermi energy = 19.06 states/eV per cell
crystal system = tetragonal

a b c (Å): 6.5501 6.5501 12.0519
angles (deg): 90.00 90.00 90.00
Last column: nearest neighbours and their distance in Å.
Fractional positions:
Mn (0.0000, 0.0000, 0.0000)  4 Ge 2.65
Mn (0.0000, 0.5000, 0.2500)  4 Ge 2.65
Mn (0.5000, 0.0000, 0.7500)  4 Ge 2.65
Mn (0.5000, 0.5000, 0.5000)  4 Ge 2.65
Ga (0.0000, 0.0000, 0.5000)  4 Ge 2.89
Ga (0.0000, 0.5000, 0.7500)  4 Ge 2.89
Ga (0.5000, 0.0000, 0.2500)  4 Ge 2.89
Ga (0.5000, 0.5000, 0.0000)  4 Ge 2.89
Ge (0.2185, 0.2500, 0.1250)  2 Mn 2.65, 2 Ga 2.89
Ge (0.2500, 0.7185, 0.3750)  2 Mn 2.65, 2 Ga 2.89
Ge (0.2500, 0.7815, 0.8750)  2 Mn 2.65, 2 Ga 2.89
Ge (0.2815, 0.2500, 0.6250)  2 Mn 2.65, 2 Ga 2.89
Ge (0.7185, 0.7500, 0.6250)  2 Mn 2.65, 2 Ga 2.89
Ge (0.7500, 0.2185, 0.8750)  2 Mn 2.65, 2 Ga 2.89
Ge (0.7500, 0.2815, 0.3750)  2 Mn 2.65, 2 Ga 2.89
Ge (0.7815, 0.7500, 0.1250)  2 Mn 2.65, 2 Ga 2.89

---

2.
This record from Alexandria describes a relaxed structure of PuGaCl6. The functional is PBE.

Calculated values
DOS at the Fermi energy = 16.49 states/eV per cell
energy relative to the elements, uncorrected = -1.408 eV per atom
crystal system = monoclinic

a b c (Å): 6.4404 12.2566 6.4016
angles (deg): 90.00 106.14 90.00
Last column: nearest neighbours and their distance in Å.
Fractional positions:
Pu (0.0000, 0.0000, 0.0000)  6 Cl 2.69-2.74
Pu (0.5000, 0.5000, 0.0000)  6 Cl 2.69-2.74
Ga (0.0000, 0.5000, 0.5000)  6 Cl 2.40-2.44
Ga (0.5000, 0.0000, 0.5000)  6 Cl 2.40-2.44
Cl (0.2176, 0.3622, 0.7226)  1 Ga 2.40
Cl (0.2176, 0.6378, 0.7226)  1 Ga 2.40
Cl (0.2411, 0.5000, 0.2649)  1 Ga 2.44, 1 Pu 2.69
Cl (0.2589, 0.0000, 0.7351)  1 Ga 2.44, 1 Pu 2.69
Cl (0.2824, 0.1378, 0.2774)  1 Ga 2.40
Cl (0.2824, 0.8622, 0.2774)  1 Ga 2.40
Cl (0.7176, 0.1378, 0.7226)  1 Ga 2.40
Cl (0.7176, 0.8622, 0.7226)  1 Ga 2.40
Cl (0.7411, 0.0000, 0.2649)  1 Ga 2.44, 1 Pu 2.69
Cl (0.7589, 0.5000, 0.7351)  1 Ga 2.44, 1 Pu 2.69
Cl (0.7824, 0.3622, 0.2774)  1 Ga 2.40
Cl (0.7824, 0.6378, 0.2774)  1 Ga 2.40

---

3.
This record from Alexandria describes a relaxed structure of Sm5Dy3Ho2. The functional is PBE.

Calculated values
formation energy from the elements = 1.92 eV/f.u.
relative energy among the computed polymorphs = 0 meV per atom
DOS at the Fermi energy = 36.99 states/eV per cell
crystal system = monoclinic

a b c (Å): 9.3301 9.3301 9.7500
angles (deg): 108.28 108.28 110.02
Last column: nearest neighbours and their distance in Å.
Fractional positions:
Sm (0.0245, 0.9755, 0.7500)  3 Sm 3.17-3.46, 4 Dy 3.35-3.43, 2 Ho 3.40
Sm (0.1479, 0.3824, 0.7776)  3 Sm 3.46-3.59, 3 Dy 3.49-3.76, 2 Ho 3.53-3.72
Sm (0.2318, 0.7682, 0.7500)  3 Sm 3.17-3.53, 4 Ho 3.34-3.52, 2 Dy 3.48
Sm (0.2718, 0.7282, 0.2500)  3 Dy 3.04-3.34
Sm (0.3824, 0.1479, 0.2776)  3 Sm 3.46-3.59, 3 Dy 3.49-3.76, 2 Ho 3.53-3.72
Sm (0.6176, 0.8521, 0.7224)  3 Sm 3.46-3.59, 3 Dy 3.49-3.76, 2 Ho 3.53-3.72
Sm (0.7282, 0.2718, 0.7500)  3 Dy 3.04-3.34
Sm (0.7682, 0.2318, 0.2500)  3 Sm 3.17-3.53, 4 Ho 3.34-3.52, 2 Dy 3.48
Sm (0.8521, 0.6176, 0.2224)  3 Sm 3.46-3.59, 3 Dy 3.49-3.76, 2 Ho 3.53-3.72
Sm (0.9755, 0.0245, 0.2500)  3 Sm 3.17-3.46, 4 Dy 3.35-3.43, 2 Ho 3.40
Dy (0.0203, 0.2684, 0.0509)  1 Ho 3.26, 6 Sm 3.34-3.56, 1 Dy 3.50
Dy (0.2684, 0.0203, 0.5509)  1 Ho 3.26, 6 Sm 3.34-3.56, 1 Dy 3.50
Dy (0.4707, 0.5293, 0.2500)  1 Sm 3.04, 2 Ho 3.35
Dy (0.5293, 0.4707, 0.7500)  1 Sm 3.04, 2 Ho 3.35
Dy (0.7316, 0.9797, 0.4491)  1 Ho 3.26, 6 Sm 3.34-3.56, 1 Dy 3.50
Dy (0.9797, 0.7316, 0.9491)  1 Ho 3.26, 6 Sm 3.34-3.56, 1 Dy 3.50
Ho (0.2230, 0.4628, 0.4498)  3 Dy 3.26-3.48, 5 Sm 3.34-3.60
Ho (0.4628, 0.2230, 0.9498)  3 Dy 3.26-3.48, 5 Sm 3.34-3.60
Ho (0.5372, 0.7770, 0.0502)  3 Dy 3.26-3.48, 5 Sm 3.34-3.60
Ho (0.7770, 0.5372, 0.5502)  3 Dy 3.26-3.48, 5 Sm 3.34-3.60

---

4.
This record from Alexandria describes a relaxed structure of CePu3Rh4. The functional is PBE.

Calculated values
formation energy from the elements = -3.28 eV/f.u.
relative energy among the computed polymorphs = 46 meV per atom
DOS at the Fermi energy = 39.52 states/eV per cell
crystal system = orthorhombic

a b c (Å): 9.6450 5.5866 5.8217
angles (deg): 90.00 90.00 90.00
Last column: nearest neighbours and their distance in Å.
Fractional positions:
Ce (0.0000, 0.1469, 0.0000)  8 Rh 2.83-3.00
Ce (0.5000, 0.8531, 0.5000)  8 Rh 2.83-3.00
Pu (0.0000, 0.6832, 0.4153)  2 Rh 2.60-2.84, 2 Pu 2.71
Pu (0.2293, 0.4347, 0.5425)  3 Pu 2.71-3.03, 4 Rh 2.77-2.91
Pu (0.2707, 0.5653, 0.0425)  3 Pu 2.71-3.03, 4 Rh 2.77-2.91
Pu (0.5000, 0.3168, 0.9153)  2 Rh 2.60-2.84, 2 Pu 2.71
Pu (0.7293, 0.5653, 0.0425)  3 Pu 2.71-3.03, 4 Rh 2.77-2.91
Pu (0.7707, 0.4347, 0.5425)  3 Pu 2.71-3.03, 4 Rh 2.77-2.91
Rh (0.0000, 0.1413, 0.4953)  3 Pu 2.60-2.77, 1 Ce 2.88
Rh (0.0000, 0.6498, 0.9025)  4 Pu 2.78-2.99, 2 Ce 2.83-2.87
Rh (0.2429, 0.9911, 0.7569)  2 Pu 2.78-2.91, 2 Ce 2.87-3.00, 4 Rh 2.92-2.94
Rh (0.2571, 0.0089, 0.2569)  2 Pu 2.78-2.91, 2 Ce 2.87-3.00, 4 Rh 2.92-2.94
Rh (0.5000, 0.3502, 0.4025)  4 Pu 2.78-2.99, 2 Ce 2.83-2.87
Rh (0.5000, 0.8587, 0.9953)  3 Pu 2.60-2.77, 1 Ce 2.88
Rh (0.7429, 0.0089, 0.2569)  2 Pu 2.78-2.91, 2 Ce 2.87-3.00, 4 Rh 2.92-2.94
Rh (0.7571, 0.9911, 0.7569)  2 Pu 2.78-2.91, 2 Ce 2.87-3.00, 4 Rh 2.92-2.94

---

5.
This record from Alexandria describes a relaxed structure of TbTm4Bi3. The functional is PBE.

Calculated values
formation energy from the elements = -2.00 eV/f.u.
DOS at the Fermi energy = 9.06 states/eV per cell
crystal system = monoclinic

a b c (Å): 16.2972 4.3334 11.1527
angles (deg): 90.00 121.43 90.00
Last column: nearest neighbours and their distance in Å.
Fractional positions:
Tb (0.0000, 0.0000, 0.0000)  4 Bi 3.15, 2 Tm 3.47
Tb (0.5000, 0.5000, 0.0000)  4 Bi 3.15, 2 Tm 3.47
Tm (0.0371, 0.0000, 0.3355)  4 Bi 3.10-3.20, 1 Tb 3.47
Tm (0.2188, 0.5000, 0.5851)  4 Bi 3.14-3.46, 2 Tm 3.37
Tm (0.2812, 0.0000, 0.4149)  4 Bi 3.14-3.46, 2 Tm 3.37
Tm (0.4629, 0.5000, 0.6645)  4 Bi 3.10-3.20, 1 Tb 3.47
Tm (0.5371, 0.5000, 0.3355)  4 Bi 3.10-3.20, 1 Tb 3.47
Tm (0.7188, 0.0000, 0.5851)  4 Bi 3.14-3.46, 2 Tm 3.37
Tm (0.7812, 0.5000, 0.4149)  4 Bi 3.14-3.46, 2 Tm 3.37
Tm (0.9629, 0.0000, 0.6645)  4 Bi 3.10-3.20, 1 Tb 3.47
Bi (0.0000, 0.5000, 0.5000)  6 Tm 3.10-3.18
Bi (0.1278, 0.5000, 0.2266)  5 Tm 3.14-3.46, 2 Tb 3.15
Bi (0.3722, 0.0000, 0.7734)  5 Tm 3.14-3.46, 2 Tb 3.15
Bi (0.5000, 0.0000, 0.5000)  6 Tm 3.10-3.18
Bi (0.6278, 0.0000, 0.2266)  5 Tm 3.14-3.46, 2 Tb 3.15
Bi (0.8722, 0.5000, 0.7734)  5 Tm 3.14-3.46, 2 Tb 3.15

---

6.
This record from Alexandria describes a relaxed structure of SmTmC. The functional is PBE.

Calculated values
formation energy from the elements = -0.66 eV/f.u.
relative energy among the computed polymorphs = 11 meV per atom
DOS at the Fermi energy = 2.21 states/eV per cell
crystal system = trigonal

a b c (Å): 3.5778 3.5778 6.3349
angles (deg): 90.00 90.00 120.00
Last column: nearest neighbours and their distance in Å.
Fractional positions:
Sm (0.0000, 0.0000, 0.0000)  3 C 2.53
Tm (0.6667, 0.3333, 0.4302)  3 C 2.43
C (0.3333, 0.6667, 0.2293)  3 Tm 2.43, 3 Sm 2.53

---

7.
This record from Alexandria describes a relaxed structure of Ac2TbSc. The functional is PBE.

Calculated values
formation energy from the elements = 0.36 eV/f.u.
relative energy among the computed polymorphs = 14 meV per atom
DOS at the Fermi energy = 5.34 states/eV per cell
crystal system = tetragonal

a b c (Å): 5.4736 5.4736 4.7829
angles (deg): 90.00 90.00 90.00
Last column: nearest neighbours and their distance in Å.
Fractional positions:
Ac (0.0000, 0.5000, 0.0000)  4 Sc 3.63, 4 Tb 3.63, 4 Ac 3.87
Ac (0.5000, 0.0000, 0.0000)  4 Sc 3.63, 4 Tb 3.63, 4 Ac 3.87
Tb (0.0000, 0.0000, 0.5000)  8 Ac 3.63, 4 Sc 3.87
Sc (0.5000, 0.5000, 0.5000)  8 Ac 3.63, 4 Tb 3.87

---

8.
This record from Alexandria describes a relaxed structure of LaYTc2Ge. The functional is PBE.

Calculated values
formation energy from the elements = 6.04 eV/f.u.
DOS at the Fermi energy = 7.54 states/eV per cell
crystal system = tetragonal

a b c (Å): 4.7898 4.7898 5.5092
angles (deg): 90.00 90.00 90.00
Last column: nearest neighbours and their distance in Å.
Fractional positions:
La (0.0000, 0.0000, 0.0000)  4 Tc 2.39
Y (0.5000, 0.5000, 0.5000)  4 Ge 3.39, 8 Tc 3.65
Tc (0.0000, 0.5000, 0.0000)  2 La 2.39
Tc (0.5000, 0.0000, 0.0000)  2 La 2.39
Ge (0.0000, 0.0000, 0.5000)  2 La 2.75